Sm2PaMoO8: optimized geometry, PBE with a Hubbard U.

- total energy (eV/f.u.) = -101.29
- crystal system = orthorhombic
- magnetic moment (Bohr magnetons per cell) = 2.000

Lattice parameters (Å, degrees): 7.139 7.330 6.935 90.00 90.00 90.00
Space group Cmmm (No. 65)
Asymmetric unit:
Sm (0.000, 0.000, 0.244) x4
Pa (0.000, 0.500, 0.500) x2
Mo (0.000, 0.500, 0.000) x2
O (0.000, 0.321, 0.236) x8
O (0.203, 0.000, 0.500) x4
O (0.232, 0.000, 0.000) x4